one) DFT (PBE) results for RbBiI3 after structural relaxation.

- Symmetry: Pm-3m

Lattice parameters (Å, degrees): 6.6726 6.6726 6.6726 90.00 90.00 90.00
Fractional positions:
Rb 0.0000 0.0000 0.0000
Bi 0.5000 0.5000 0.5000
I 0.0000 0.0000 0.5000
I 0.0000 0.5000 0.0000
I 0.5000 0.0000 0.0000

two) DFT (PBE) results for RbBiI3 after structural relaxation.

- Symmetry: P-1

Lattice parameters (Å, degrees): 5.7830 9.6350 10.1686 68.47 89.56 88.00
Fractional positions:
Rb 0.2170 0.2653 0.2610
Rb 0.7830 0.7347 0.7390
Bi 0.0569 0.2043 0.7645
Bi 0.9431 0.7957 0.2355
I 0.2484 0.9102 0.9099
I 0.2631 0.8375 0.4552
I 0.2920 0.4404 0.8548
I 0.7080 0.5596 0.1452
I 0.7369 0.1625 0.5448
I 0.7516 0.0898 0.0901

three) DFT (PBE) results for RbBiI3 after structural relaxation.

- Symmetry: Pm-3m

Lattice parameters (Å, degrees): 6.3201 6.3201 6.3201 90.00 90.00 90.00
Fractional positions:
Rb 0.0000 0.0000 0.0000
Bi 0.5000 0.5000 0.5000
I 0.0000 0.5000 0.5000
I 0.5000 0.0000 0.5000
I 0.5000 0.5000 0.0000

Most stable = three)

one) DFT (PBE) results for Rb2BiI5 after structural relaxation.

- Symmetry: P1

Lattice parameters (Å, degrees): 7.3315 8.7948 9.3843 66.12 67.06 65.37
Fractional positions:
Rb 0.0000 0.0000 0.0000
Rb 0.4331 0.6555 0.4788
Bi 0.1953 0.3274 0.2398
I 0.2864 0.0777 0.5619
I 0.3562 0.5776 0.9172
I 0.4469 0.0207 0.0860
I 0.7927 0.3252 0.2422
I 0.9865 0.6345 0.3931

two) DFT (PBE) results for Rb2BiI5 after structural relaxation.

- Symmetry: I4mm

Lattice parameters (Å, degrees): 9.0554 9.0554 10.3662 90.00 90.00 90.00
Fractional positions:
Rb 0.0000 0.5000 0.0000
Rb 0.0000 0.5000 0.5000
Rb 0.5000 0.0000 0.0000
Rb 0.5000 0.0000 0.5000
Bi 0.0000 0.0000 0.2627
Bi 0.5000 0.5000 0.7627
I 0.0000 0.0000 0.5365
I 0.2409 0.2409 0.2431
I 0.2409 0.7591 0.2431
I 0.2591 0.2591 0.7431
I 0.2591 0.7409 0.7431
I 0.5000 0.5000 0.0365
I 0.7409 0.2591 0.7431
I 0.7409 0.7409 0.7431
I 0.7591 0.2409 0.2431
I 0.7591 0.7591 0.2431

Most stable = one)

one) DFT (PBE) results for RbBiI2 after structural relaxation.

- Symmetry: Fm-3m

Lattice parameters (Å, degrees): 8.6381 8.6381 8.6381 90.00 90.00 90.00
Fractional positions:
Rb 0.0000 0.0000 0.0000
Rb 0.0000 0.5000 0.5000
Rb 0.5000 0.0000 0.5000
Rb 0.5000 0.5000 0.0000
Bi 0.0000 0.0000 0.5000
Bi 0.0000 0.5000 0.0000
Bi 0.5000 0.0000 0.0000
Bi 0.5000 0.5000 0.5000
I 0.2500 0.2500 0.2500
I 0.2500 0.2500 0.7500
I 0.2500 0.7500 0.2500
I 0.2500 0.7500 0.7500
I 0.7500 0.2500 0.2500
I 0.7500 0.2500 0.7500
I 0.7500 0.7500 0.2500
I 0.7500 0.7500 0.7500

two) DFT (PBE) results for RbBiI2 after structural relaxation.

- Symmetry: R-3m

Lattice parameters (Å, degrees): 5.4945 5.4945 27.9680 90.00 90.00 120.00
Fractional positions:
Rb 0.0000 0.0000 0.0000
Rb 0.3333 0.6667 0.6667
Rb 0.6667 0.3333 0.3333
Bi 0.0000 0.0000 0.5000
Bi 0.3333 0.6667 0.1667
Bi 0.6667 0.3333 0.8333
I 0.0000 0.0000 0.1230
I 0.0000 0.0000 0.8770
I 0.3333 0.6667 0.5437
I 0.3333 0.6667 0.7896
I 0.6667 0.3333 0.2104
I 0.6667 0.3333 0.4563

three) DFT (PBE) results for RbBiI2 after structural relaxation.

- Symmetry: I-42d

Lattice parameters (Å, degrees): 6.7569 6.7569 19.7677 90.00 90.00 90.00
Fractional positions:
Rb 0.0000 0.0000 0.0000
Rb 0.0000 0.5000 0.2500
Rb 0.5000 0.0000 0.7500
Rb 0.5000 0.5000 0.5000
Bi 0.0000 0.0000 0.5000
Bi 0.0000 0.5000 0.7500
Bi 0.5000 0.0000 0.2500
Bi 0.5000 0.5000 0.0000
I 0.1757 0.2500 0.6250
I 0.2500 0.6757 0.8750
I 0.2500 0.8243 0.3750
I 0.3243 0.2500 0.1250
I 0.6757 0.7500 0.1250
I 0.7500 0.1757 0.3750
I 0.7500 0.3243 0.8750
I 0.8243 0.7500 0.6250

Most stable = three)

one) DFT (PBE) results for RbBiI4 after structural relaxation.

- Symmetry: C2/c

Lattice parameters (Å, degrees): 11.0747 11.0747 7.7578 102.35 102.35 125.50
Fractional positions:
Rb 0.1751 0.8249 0.7500
Rb 0.8249 0.1751 0.2500
Bi 0.4321 0.5679 0.7500
Bi 0.5679 0.4321 0.2500
I 0.1210 0.4651 0.7756
I 0.2488 0.3572 0.3005
I 0.3572 0.2488 0.8005
I 0.4651 0.1210 0.2756
I 0.5349 0.8790 0.7244
I 0.6428 0.7512 0.1995
I 0.7512 0.6428 0.6995
I 0.8790 0.5349 0.2244

two) DFT (PBE) results for RbBiI4 after structural relaxation.

- Symmetry: P-1

Lattice parameters (Å, degrees): 4.6343 7.7460 9.2787 103.34 90.01 107.23
Fractional positions:
Rb 0.0000 0.0000 0.0000
Bi 0.5000 0.0000 0.5000
I 0.1211 0.2450 0.4130
I 0.3734 0.7437 0.1835
I 0.6266 0.2563 0.8165
I 0.8789 0.7550 0.5870

Most stable = one)

one) DFT (PBE) results for RbBiSI2 after structural relaxation.

- Symmetry: P4/mmm

Lattice parameters (Å, degrees): 6.0941 6.0941 5.5000 90.00 90.00 90.00
Fractional positions:
Rb 0.0000 0.0000 0.0000
Bi 0.5000 0.5000 0.0000
S 0.5000 0.5000 0.5000
I 0.0000 0.5000 0.5000
I 0.5000 0.0000 0.5000

two) DFT (PBE) results for RbBiSI2 after structural relaxation.

- Symmetry: P4/mmm

Lattice parameters (Å, degrees): 6.3434 6.3434 5.3205 90.00 90.00 90.00
Fractional positions:
Rb 0.0000 0.0000 0.0000
Bi 0.5000 0.5000 0.5000
S 0.5000 0.5000 0.0000
I 0.0000 0.5000 0.5000
I 0.5000 0.0000 0.5000

Most stable = two)

one) DFT (PBE) results for RbBiSb2I after structural relaxation.

- Symmetry: P4/mmm

Lattice parameters (Å, degrees): 5.8839 5.8839 6.7377 90.00 90.00 90.00
Fractional positions:
Rb 0.0000 0.0000 0.0000
Bi 0.5000 0.5000 0.5000
Sb 0.0000 0.5000 0.5000
Sb 0.5000 0.0000 0.5000
I 0.5000 0.5000 0.0000

two) DFT (PBE) results for RbBiSb2I after structural relaxation.

- Symmetry: P4/mmm

Lattice parameters (Å, degrees): 7.0719 7.0719 6.4360 90.00 90.00 90.00
Fractional positions:
Rb 0.0000 0.0000 0.0000
Bi 0.5000 0.5000 0.5000
Sb 0.0000 0.5000 0.0000
Sb 0.5000 0.0000 0.0000
I 0.0000 0.0000 0.5000

Most stable = one)

one) DFT (PBE) results for RbBiTe2I after structural relaxation.

- Symmetry: P4/mmm

Lattice parameters (Å, degrees): 6.2930 6.2930 6.2812 90.00 90.00 90.00
Fractional positions:
Rb 0.0000 0.0000 0.0000
Bi 0.5000 0.5000 0.5000
Te 0.0000 0.5000 0.0000
Te 0.5000 0.0000 0.0000
I 0.0000 0.0000 0.5000

two) DFT (PBE) results for RbBiTe2I after structural relaxation.

- Symmetry: P4/mmm

Lattice parameters (Å, degrees): 5.9908 5.9908 6.3872 90.00 90.00 90.00
Fractional positions:
Rb 0.0000 0.0000 0.0000
Bi 0.5000 0.5000 0.5000
Te 0.0000 0.5000 0.5000
Te 0.5000 0.0000 0.5000
I 0.5000 0.5000 0.0000

Most stable = two)

one) DFT (PBE) results for ReBiI2 after structural relaxation.

- Symmetry: Fm-3m

Lattice parameters (Å, degrees): 7.3784 7.3784 7.3784 90.00 90.00 90.00
Fractional positions:
Re 0.0000 0.0000 0.0000
Re 0.0000 0.5000 0.5000
Re 0.5000 0.0000 0.5000
Re 0.5000 0.5000 0.0000
Bi 0.0000 0.0000 0.5000
Bi 0.0000 0.5000 0.0000
Bi 0.5000 0.0000 0.0000
Bi 0.5000 0.5000 0.5000
I 0.2500 0.2500 0.2500
I 0.2500 0.2500 0.7500
I 0.2500 0.7500 0.2500
I 0.2500 0.7500 0.7500
I 0.7500 0.2500 0.2500
I 0.7500 0.2500 0.7500
I 0.7500 0.7500 0.2500
I 0.7500 0.7500 0.7500

two) DFT (PBE) results for ReBiI2 after structural relaxation.

- Symmetry: I-42d

Lattice parameters (Å, degrees): 9.8179 9.8179 5.3446 90.00 90.00 90.00
Fractional positions:
Re 0.0000 0.0000 0.0000
Re 0.0000 0.5000 0.2500
Re 0.5000 0.0000 0.7500
Re 0.5000 0.5000 0.5000
Bi 0.0000 0.0000 0.5000
Bi 0.0000 0.5000 0.7500
Bi 0.5000 0.0000 0.2500
Bi 0.5000 0.5000 0.0000
I 0.1142 0.7500 0.1250
I 0.2500 0.1142 0.8750
I 0.2500 0.3858 0.3750
I 0.3858 0.7500 0.6250
I 0.6142 0.2500 0.6250
I 0.7500 0.6142 0.3750
I 0.7500 0.8858 0.8750
I 0.8858 0.2500 0.1250

Most stable = two)

one) DFT (PBE) results for BiRhI3 after structural relaxation.

- Symmetry: Pm-3m

Lattice parameters (Å, degrees): 6.1636 6.1636 6.1636 90.00 90.00 90.00
Fractional positions:
Bi 0.0000 0.0000 0.0000
Rh 0.5000 0.5000 0.5000
I 0.0000 0.0000 0.5000
I 0.0000 0.5000 0.0000
I 0.5000 0.0000 0.0000

two) DFT (PBE) results for BiRhI3 after structural relaxation.

- Symmetry: Pm-3m

Lattice parameters (Å, degrees): 5.3776 5.3776 5.3776 90.00 90.00 90.00
Fractional positions:
Bi 0.0000 0.0000 0.0000
Rh 0.5000 0.5000 0.5000
I 0.0000 0.5000 0.5000
I 0.5000 0.0000 0.5000
I 0.5000 0.5000 0.0000

Most stable = two)

one) DFT (PBE) results for Bi3RhI after structural relaxation.

- Symmetry: P2_1

Lattice parameters (Å, degrees): 6.7232 5.9362 8.0978 90.00 109.05 90.00
Fractional positions:
Bi 0.1743 0.0000 0.0552
Bi 0.1980 0.0082 0.5384
Bi 0.2989 0.4056 0.3260
Bi 0.7011 0.9056 0.6740
Bi 0.8020 0.5082 0.4616
Bi 0.8257 0.5000 0.9448
Rh 0.0059 0.7316 0.2541
Rh 0.9941 0.2316 0.7459
I 0.3176 0.5274 0.8386
I 0.6824 0.0274 0.1614

two) DFT (PBE) results for Bi3RhI after structural relaxation.

- Symmetry: Pm-3m

Lattice parameters (Å, degrees): 5.4145 5.4145 5.4145 90.00 90.00 90.00
Fractional positions:
Bi 0.0000 0.0000 0.5000
Bi 0.0000 0.5000 0.0000
Bi 0.5000 0.0000 0.0000
Rh 0.0000 0.0000 0.0000
I 0.5000 0.5000 0.5000

Most stable = one)

one) DFT (PBE) results for BiRhI2 after structural relaxation.

- Symmetry: I-42d

Lattice parameters (Å, degrees): 10.3667 10.3667 5.3179 90.00 90.00 90.00
Fractional positions:
Bi 0.0000 0.0000 0.0000
Bi 0.0000 0.5000 0.2500
Bi 0.5000 0.0000 0.7500
Bi 0.5000 0.5000 0.5000
Rh 0.0000 0.0000 0.5000
Rh 0.0000 0.5000 0.7500
Rh 0.5000 0.0000 0.2500
Rh 0.5000 0.5000 0.0000
I 0.0784 0.7500 0.6250
I 0.2500 0.0784 0.3750
I 0.2500 0.4216 0.8750
I 0.4216 0.7500 0.1250
I 0.5784 0.2500 0.1250
I 0.7500 0.5784 0.8750
I 0.7500 0.9216 0.3750
I 0.9216 0.2500 0.6250

two) DFT (PBE) results for BiRhI2 after structural relaxation.

- Symmetry: Fm-3m

Lattice parameters (Å, degrees): 7.5097 7.5097 7.5097 90.00 90.00 90.00
Fractional positions:
Bi 0.0000 0.0000 0.0000
Bi 0.0000 0.5000 0.5000
Bi 0.5000 0.0000 0.5000
Bi 0.5000 0.5000 0.0000
Rh 0.0000 0.0000 0.5000
Rh 0.0000 0.5000 0.0000
Rh 0.5000 0.0000 0.0000
Rh 0.5000 0.5000 0.5000
I 0.2500 0.2500 0.2500
I 0.2500 0.2500 0.7500
I 0.2500 0.7500 0.2500
I 0.2500 0.7500 0.7500
I 0.7500 0.2500 0.2500
I 0.7500 0.2500 0.7500
I 0.7500 0.7500 0.2500
I 0.7500 0.7500 0.7500

Most stable = one)

one) DFT (PBE) results for BiSbRhI2 after structural relaxation.

- Symmetry: P4/mmm

Lattice parameters (Å, degrees): 5.3867 5.3867 5.2152 90.00 90.00 90.00
Fractional positions:
Bi 0.0000 0.0000 0.0000
Sb 0.5000 0.5000 0.0000
Rh 0.5000 0.5000 0.5000
I 0.0000 0.5000 0.5000
I 0.5000 0.0000 0.5000

two) DFT (PBE) results for BiSbRhI2 after structural relaxation.

- Symmetry: P4/mmm

Lattice parameters (Å, degrees): 6.1088 6.1088 5.9621 90.00 90.00 90.00
Fractional positions:
Bi 0.0000 0.0000 0.0000
Sb 0.0000 0.0000 0.5000
Rh 0.5000 0.5000 0.5000
I 0.0000 0.5000 0.0000
I 0.5000 0.0000 0.0000

Most stable = one)